#P
DFT (PBE) results for a relaxed Rb2ScCl crystal.

a = 6.4893 Å, b = 6.4893 Å, c = 6.4893 Å
α = 60.00°, β = 60.00°, γ = 60.00°
Last column: nearest neighbours and their distance in Å.
Sites, in units of the cell vectors:
1 Sc 0.5000 0.5000 0.5000  8 Rb 3.97
2 Rb 0.2500 0.2500 0.2500  4 Sc 3.97, 4 Cl 3.97
3 Rb 0.7500 0.7500 0.7500  4 Cl 3.97, 4 Sc 3.97
4 Cl 0.0000 0.0000 0.0000  8 Rb 3.97

* magnetic moment: 2.00 μB per formula unit
* D(E_F): 27.804 states/eV/f.u.

---

#Q
DFT (PBE) results for a relaxed Rb2ScCl crystal.

a = 9.6497 Å, b = 9.6497 Å, c = 8.1844 Å
α = 53.88°, β = 53.88°, γ = 90.00°
Last column: nearest neighbours and their distance in Å.
Sites, in units of the cell vectors:
1 Sc 0.0000 0.0000 0.0000  8 Rb 4.13-4.48, 2 Cl 4.52
2 Sc 0.7500 0.2500 0.5000  8 Rb 4.13-4.48, 2 Cl 4.52
3 Rb 0.5476 0.1250 0.2500  2 Cl 3.14
4 Rb 0.2024 0.6250 0.2500  2 Cl 3.14
5 Rb 0.3750 0.4524 0.7500  2 Cl 3.14
6 Rb 0.8750 0.7976 0.7500  2 Cl 3.14
7 Cl 0.5000 0.5000 0.0000  4 Rb 3.14
8 Cl 0.2500 0.7500 0.5000  4 Rb 3.14

* magnetic moment: 2.00 μB per formula unit
* D(E_F): 6.691 states/eV/f.u.

---

It comes down to #Q, which is 195 meV per atom more stable than the next structure.

---

#P
DFT (PBE) results for a relaxed RbSc2Cl crystal.

a = 6.1587 Å, b = 6.1587 Å, c = 9.5867 Å
α = 71.26°, β = 71.26°, γ = 90.00°
Last column: nearest neighbours and their distance in Å.
Sites, in units of the cell vectors:
1 Sc 0.3750 0.1250 0.2500  2 Cl 2.63
2 Sc 0.3750 0.6250 0.2500  2 Cl 2.63
3 Sc 0.3750 0.6250 0.7500  2 Cl 2.63
4 Sc 0.8750 0.6250 0.7500  2 Cl 2.63
5 Rb 0.0000 0.0000 0.0000  8 Sc 4.05, 4 Cl 4.35
6 Rb 0.7500 0.2500 0.5000  8 Sc 4.05, 4 Cl 4.35
7 Cl 0.5000 0.5000 0.0000  4 Sc 2.63
8 Cl 0.2500 0.7500 0.5000  4 Sc 2.63

* magnetic moment: 2.08 μB per formula unit
* D(E_F): 4.466 states/eV/f.u.

---

#Q
DFT (PBE) results for a relaxed RbSc2Cl crystal.

a = 11.9624 Å, b = 11.9624 Å, c = 11.9624 Å
α = 17.12°, β = 17.12°, γ = 17.12°
Last column: nearest neighbours and their distance in Å.
Sites, in units of the cell vectors:
1 Sc 0.9309 0.9309 0.9309  1 Cl 2.44
2 Sc 0.0691 0.0691 0.0691  1 Cl 2.44
3 Rb 0.5000 0.5000 0.5000  6 Rb 3.56
4 Cl 0.0000 0.0000 0.0000  2 Sc 2.44

* magnetic moment: 0.01 μB per formula unit
* D(E_F): 5.408 states/eV/f.u.

---

#R
DFT (PBE) results for a relaxed RbSc2Cl crystal.

a = 5.6206 Å, b = 5.6206 Å, c = 5.6206 Å
α = 60.00°, β = 60.00°, γ = 60.00°
Last column: nearest neighbours and their distance in Å.
Sites, in units of the cell vectors:
1 Sc 0.2500 0.2500 0.2500  4 Rb 3.44, 4 Cl 3.44
2 Sc 0.7500 0.7500 0.7500  4 Cl 3.44, 4 Rb 3.44
3 Rb 0.5000 0.5000 0.5000  8 Sc 3.44
4 Cl 0.0000 0.0000 0.0000  8 Sc 3.44

* magnetic moment: 2.21 μB per formula unit
* D(E_F): 5.148 states/eV/f.u.

---

It comes down to #Q, which is 216 meV per atom more stable than the next structure.

---

#P
DFT (PBE) results for a relaxed Rb2Sc2Cl crystal.

a = 10.7419 Å, b = 10.7419 Å, c = 3.9315 Å
α = 90.00°, β = 90.00°, γ = 90.00°
Last column: nearest neighbours and their distance in Å.
Sites, in units of the cell vectors:
1 Sc 0.4126 0.9126 0.0000  1 Sc 2.66
2 Sc 0.9126 0.5874 0.0000  1 Sc 2.66
3 Sc 0.5874 0.0874 0.0000  1 Sc 2.66
4 Sc 0.0874 0.4126 0.0000  1 Sc 2.66
5 Rb 0.2038 0.7038 0.5000  6 Sc 3.73-3.90, 2 Rb 3.93
6 Rb 0.7038 0.7962 0.5000  6 Sc 3.73-3.90, 2 Rb 3.93
7 Rb 0.7962 0.2962 0.5000  6 Sc 3.73-3.90, 2 Rb 3.93
8 Rb 0.2962 0.2038 0.5000  6 Sc 3.73-3.90, 2 Rb 3.93
9 Cl 0.0000 0.0000 0.0000  2 Cl 3.93, 8 Rb 4.33
10 Cl 0.5000 0.5000 0.0000  2 Cl 3.93, 8 Rb 4.33

* magnetic moment: 3.00 μB per formula unit
* D(E_F): 3.664 states/eV/f.u.

---

#Q
DFT (PBE) results for a relaxed Rb2Sc2Cl crystal.

a = 5.0623 Å, b = 5.0623 Å, c = 9.9659 Å
α = 75.29°, β = 75.29°, γ = 90.00°
Last column: nearest neighbours and their distance in Å.
Sites, in units of the cell vectors:
1 Sc 0.4297 0.4297 0.1406  1 Sc 2.62
2 Sc 0.5703 0.5703 0.8594  1 Sc 2.62
3 Rb 0.7500 0.2500 0.5000  4 Rb 3.58
4 Rb 0.2500 0.7500 0.5000  4 Rb 3.58
5 Cl 0.0000 0.0000 0.0000  8 Sc 3.81

* magnetic moment: 3.01 μB per formula unit
* D(E_F): 3.762 states/eV/f.u.

---

It comes down to #P, which is 256 meV per atom more stable than the next structure.

---

#P
DFT (PBE) results for a relaxed Rb2ScTlCl6 crystal.

a = 7.5863 Å, b = 7.9736 Å, c = 10.8961 Å
α = 90.00°, β = 89.99°, γ = 90.00°
Last column: nearest neighbours and their distance in Å.
Sites, in units of the cell vectors:
1 Rb 0.0221 0.9320 0.2494  6 Cl 3.33-3.57
2 Rb 0.5221 0.5680 0.7494  6 Cl 3.33-3.57
3 Rb 0.9779 0.0680 0.7506  6 Cl 3.33-3.57
4 Rb 0.4779 0.4320 0.2506  6 Cl 3.33-3.57
5 Sc 0.5000 0.0000 0.5000  6 Cl 2.51-2.53
6 Sc 0.0000 0.5000 0.0000  6 Cl 2.51-2.53
7 Tl 0.5000 0.0000 0.0000  6 Cl 3.16-3.22
8 Tl 0.0000 0.5000 0.5000  6 Cl 3.16-3.22
9 Cl 0.2699 0.6719 0.0465  1 Sc 2.52
10 Cl 0.7699 0.8281 0.5465  1 Sc 2.52
11 Cl 0.7301 0.3281 0.9535  1 Sc 2.52
12 Cl 0.2301 0.1719 0.4535  1 Sc 2.52
13 Cl 0.3353 0.7352 0.4448  1 Sc 2.53
14 Cl 0.8353 0.7648 0.9448  1 Sc 2.53
15 Cl 0.6647 0.2648 0.5552  1 Sc 2.53
16 Cl 0.1647 0.2352 0.0552  1 Sc 2.53
17 Cl 0.9014 0.5316 0.2187  1 Sc 2.51
18 Cl 0.4014 0.9684 0.7187  1 Sc 2.51
19 Cl 0.0986 0.4684 0.7813  1 Sc 2.51
20 Cl 0.5986 0.0316 0.2813  1 Sc 2.51

* magnetic moment: 0.00 μB per formula unit
* D(E_F): 0.000 states/eV/f.u.

---

#Q
DFT (PBE) results for a relaxed Rb2ScTlCl6 crystal.

a = 7.8609 Å, b = 7.8609 Å, c = 7.8609 Å
α = 60.00°, β = 60.00°, γ = 60.00°
Last column: nearest neighbours and their distance in Å.
Sites, in units of the cell vectors:
1 Rb 0.7500 0.7500 0.7500  12 Cl 3.94
2 Rb 0.2500 0.2500 0.2500  12 Cl 3.94
3 Sc 0.0000 0.0000 0.0000  6 Cl 2.50
4 Tl 0.5000 0.5000 0.5000  6 Cl 3.06
5 Cl 0.7753 0.2247 0.2247  1 Sc 2.50
6 Cl 0.2247 0.2247 0.7753  1 Sc 2.50
7 Cl 0.2247 0.7753 0.7753  1 Sc 2.50
8 Cl 0.2247 0.7753 0.2247  1 Sc 2.50
9 Cl 0.7753 0.2247 0.7753  1 Sc 2.50
10 Cl 0.7753 0.7753 0.2247  1 Sc 2.50

* magnetic moment: 0.00 μB per formula unit
* D(E_F): 0.000 states/eV/f.u.

---

It comes down to #P, which is 35 meV per atom more stable than the next structure.

---

#P
DFT (PBE) results for a relaxed Rb2SeCl crystal.

a = 8.7940 Å, b = 8.7940 Å, c = 7.8646 Å
α = 56.01°, β = 56.01°, γ = 90.00°
Last column: nearest neighbours and their distance in Å.
Sites, in units of the cell vectors:
1 Se 0.0000 0.0000 0.0000  4 Rb 3.48
2 Se 0.7500 0.2500 0.5000  4 Rb 3.48
3 Rb 0.6010 0.1250 0.2500  2 Cl 3.20, 2 Se 3.48
4 Rb 0.1490 0.6250 0.2500  2 Cl 3.20, 2 Se 3.48
5 Rb 0.3750 0.3990 0.7500  2 Cl 3.20, 2 Se 3.48
6 Rb 0.8750 0.8510 0.7500  2 Cl 3.20, 2 Se 3.48
7 Cl 0.5000 0.5000 0.0000  4 Rb 3.20
8 Cl 0.2500 0.7500 0.5000  4 Rb 3.20

* magnetic moment: 1.00 μB per formula unit
* D(E_F): 1.826 states/eV/f.u.

---

#Q
DFT (PBE) results for a relaxed Rb2SeCl crystal.

a = 3.8746 Å, b = 3.8746 Å, c = 8.7893 Å
α = 90.00°, β = 90.00°, γ = 90.00°
Last column: nearest neighbours and their distance in Å.
Sites, in units of the cell vectors:
1 Se 0.5000 0.5000 0.5000  8 Rb 3.63, 4 Se 3.87
2 Rb 0.0000 0.0000 0.7710  4 Cl 3.40, 4 Se 3.63
3 Rb 0.0000 0.0000 0.2290  4 Cl 3.40, 4 Se 3.63
4 Cl 0.5000 0.5000 0.0000  8 Rb 3.40

* magnetic moment: 0.45 μB per formula unit
* D(E_F): 1.283 states/eV/f.u.

---

It comes down to #Q, which is 130 meV per atom more stable than the next structure.

---

#P
DFT (PBE) results for a relaxed RbSeCl crystal.

a = 6.6179 Å, b = 5.9738 Å, c = 6.6656 Å
α = 87.59°, β = 90.01°, γ = 58.59°
Last column: nearest neighbours and their distance in Å.
Sites, in units of the cell vectors:
1 Cl 0.1876 0.6211 0.7356  1 Se 2.74
2 Cl 0.8124 0.3789 0.2644  1 Se 2.74
3 Rb 0.1800 0.6601 0.2383  5 Cl 3.31-3.68, 2 Se 3.56-3.58
4 Rb 0.8200 0.3399 0.7617  5 Cl 3.31-3.68, 2 Se 3.56-3.58
5 Se 0.5660 0.9048 0.1564  1 Se 2.27
6 Se 0.4340 0.0952 0.8436  1 Se 2.27

* magnetic moment: 0.00 μB per formula unit
* D(E_F): 0.667 states/eV/f.u.

---

#Q
DFT (PBE) results for a relaxed RbSeCl crystal.

a = 6.5176 Å, b = 7.4554 Å, c = 5.7580 Å
α = 100.28°, β = 124.47°, γ = 90.01°
Last column: nearest neighbours and their distance in Å.
Sites, in units of the cell vectors:
1 Rb 0.5203 0.2729 0.8904  6 Cl 3.43-3.74
2 Rb 0.0203 0.7729 0.8904  2 Cl 3.45, 6 Se 3.46-3.64
3 Se 0.3952 0.7322 0.6398  1 Se 2.32
4 Se 0.6454 0.8137 0.1410  1 Se 2.32
5 Cl 0.8383 0.1261 0.5269  1 Se 2.63
6 Cl 0.2023 0.4198 0.2539  1 Se 2.63

* magnetic moment: 0.00 μB per formula unit
* D(E_F): 0.494 states/eV/f.u.

---

It comes down to #P, which is 45 meV per atom more stable than the next structure.

---

#P
DFT (PBE) results for a relaxed RbSe2Cl crystal.

a = 4.4070 Å, b = 4.4070 Å, c = 17.2529 Å
α = 82.66°, β = 82.66°, γ = 90.00°
Last column: nearest neighbours and their distance in Å.
Sites, in units of the cell vectors:
1 Se 0.2540 0.1250 0.2500  2 Se 2.45
2 Se 0.4960 0.6250 0.2500  2 Se 2.45
3 Se 0.3750 0.7460 0.7500  2 Se 2.45
4 Se 0.8750 0.5040 0.7500  2 Se 2.45
5 Rb 0.0000 0.0000 0.0000  4 Cl 3.12
6 Rb 0.7500 0.2500 0.5000  4 Cl 3.12
7 Cl 0.5000 0.5000 0.0000  4 Rb 3.12
8 Cl 0.2500 0.7500 0.5000  4 Rb 3.12

* magnetic moment: 0.00 μB per formula unit
* D(E_F): 2.062 states/eV/f.u.

---

#Q
DFT (PBE) results for a relaxed RbSe2Cl crystal.

a = 9.9610 Å, b = 9.9610 Å, c = 9.9610 Å
α = 24.22°, β = 24.22°, γ = 24.22°
Last column: nearest neighbours and their distance in Å.
Sites, in units of the cell vectors:
1 Se 0.9181 0.9181 0.9181  1 Cl 2.37
2 Se 0.0819 0.0819 0.0819  1 Cl 2.37
3 Rb 0.5000 0.5000 0.5000  6 Se 3.44
4 Cl 0.0000 0.0000 0.0000  2 Se 2.37

* magnetic moment: 0.00 μB per formula unit
* D(E_F): 4.332 states/eV/f.u.

---

#R
DFT (PBE) results for a relaxed RbSe2Cl crystal.

a = 5.6606 Å, b = 5.6606 Å, c = 5.6606 Å
α = 60.00°, β = 60.00°, γ = 60.00°
Last column: nearest neighbours and their distance in Å.
Sites, in units of the cell vectors:
1 Se 0.2500 0.2500 0.2500  4 Cl 3.47, 4 Rb 3.47
2 Se 0.7500 0.7500 0.7500  4 Cl 3.47, 4 Rb 3.47
3 Rb 0.5000 0.5000 0.5000  8 Se 3.47
4 Cl 0.0000 0.0000 0.0000  8 Se 3.47

* magnetic moment: 4.00 μB per formula unit
* D(E_F): 4.087 states/eV/f.u.

---

It comes down to #P, which is 772 meV per atom more stable than the next structure.

---

#P
DFT (PBE) results for a relaxed Rb2SeCl4 crystal.

a = 6.9103 Å, b = 6.9103 Å, c = 6.9103 Å
α = 114.69°, β = 114.69°, γ = 99.47°
Last column: nearest neighbours and their distance in Å.
Sites, in units of the cell vectors:
1 Se 0.5000 0.5000 0.0000  4 Cl 2.48
2 Rb 0.7500 0.2500 0.5000  8 Cl 3.46
3 Rb 0.2500 0.7500 0.5000  8 Cl 3.46
4 Cl 0.7348 0.7348 0.4695  1 Se 2.48
5 Cl 0.2654 0.2654 0.5305  1 Se 2.48
6 Cl 0.7346 0.2652 0.0000  1 Se 2.48
7 Cl 0.2652 0.7346 0.0000  1 Se 2.48

* magnetic moment: 0.00 μB per formula unit
* D(E_F): 0.000 states/eV/f.u.

---

#Q
DFT (PBE) results for a relaxed Rb2SeCl4 crystal.

a = 12.0870 Å, b = 8.0600 Å, c = 8.5661 Å
α = 90.00°, β = 134.49°, γ = 90.00°
Last column: nearest neighbours and their distance in Å.
Sites, in units of the cell vectors:
1 Rb 0.3808 0.7500 0.8833  4 Cl 3.21
2 Rb 0.6192 0.2500 0.1167  4 Cl 3.21
3 Rb 0.3165 0.2500 0.3173  4 Cl 3.25
4 Rb 0.6835 0.7500 0.6827  4 Cl 3.25
5 Se 0.2339 0.7500 0.2378  2 Cl 2.21-2.22
6 Se 0.7661 0.2500 0.7622  2 Cl 2.21-2.22
7 Cl 0.5020 0.4997 0.2679  4 Rb 3.21-3.25
8 Cl 0.0689 0.7500 0.8761  1 Se 2.22
9 Cl 0.9311 0.2500 0.1239  1 Se 2.22
10 Cl 0.5020 0.0003 0.2679  4 Rb 3.21-3.25
11 Cl 0.9338 0.2500 0.7324  1 Se 2.21
12 Cl 0.4980 0.9997 0.7321  4 Rb 3.21-3.25
13 Cl 0.4980 0.5003 0.7321  4 Rb 3.21-3.25
14 Cl 0.0662 0.7500 0.2676  1 Se 2.21

* magnetic moment: 0.00 μB per formula unit

---

It comes down to #P, which is 148 meV per atom more stable than the next structure.

---

#P
DFT (PBE) results for a relaxed Rb3SeCl6 crystal.

a = 7.7563 Å, b = 7.7563 Å, c = 8.2321 Å
α = 61.89°, β = 61.89°, γ = 90.00°
Last column: nearest neighbours and their distance in Å.
Sites, in units of the cell vectors:
1 Se 0.5000 0.5000 0.0000  4 Cl 2.40
2 Rb 0.7500 0.2500 0.5000  12 Cl 3.88-4.13
3 Rb 0.2500 0.7500 0.5000  12 Cl 3.88-4.13
4 Rb 0.0000 0.0000 0.0000  6 Cl 3.08-3.12
5 Cl 0.2539 0.2539 0.4923  1 Se 3.02, 1 Rb 3.12
6 Cl 0.7461 0.7461 0.5077  1 Se 3.02, 1 Rb 3.12
7 Cl 0.2810 0.2810 0.0000  1 Se 2.40
8 Cl 0.7190 0.7190 0.0000  1 Se 2.40
9 Cl 0.7190 0.2810 0.0000  1 Se 2.40
10 Cl 0.2810 0.7190 0.0000  1 Se 2.40

* magnetic moment: 1.00 μB per formula unit
* D(E_F): 0.000 states/eV/f.u.

---

#Q
DFT (PBE) results for a relaxed Rb3SeCl6 crystal.

a = 7.9061 Å, b = 7.4821 Å, c = 12.1387 Å
α = 90.00°, β = 98.05°, γ = 90.00°
Last column: nearest neighbours and their distance in Å.
Sites, in units of the cell vectors:
1 Rb 0.5032 0.9403 0.7310  5 Cl 3.27-3.50
2 Rb 0.5000 0.5000 0.0000  6 Cl 3.20-3.32
3 Rb 0.4968 0.0597 0.2690  5 Cl 3.27-3.50
4 Rb 0.0032 0.5597 0.2310  5 Cl 3.27-3.50
5 Rb 0.0000 0.0000 0.5000  6 Cl 3.20-3.32
6 Rb 0.9968 0.4403 0.7690  5 Cl 3.27-3.50
7 Se 0.5000 0.5000 0.5000  4 Cl 2.43
8 Se 0.0000 0.0000 0.0000  4 Cl 2.43
9 Cl 0.7536 0.1796 0.9282  1 Se 2.43
10 Cl 0.6623 0.2301 0.5517  1 Se 2.43
11 Cl 0.6057 0.4850 0.2640  1 Se 3.10, 3 Rb 3.20-3.30
12 Cl 0.3943 0.5150 0.7360  1 Se 3.10, 3 Rb 3.20-3.30
13 Cl 0.3377 0.7699 0.4483  1 Se 2.43
14 Cl 0.2464 0.8204 0.0718  1 Se 2.43
15 Cl 0.2536 0.3204 0.4282  1 Se 2.43
16 Cl 0.1623 0.2699 0.0517  1 Se 2.43
17 Cl 0.1057 0.0150 0.7640  1 Se 3.10, 3 Rb 3.20-3.30
18 Cl 0.8943 0.9850 0.2360  1 Se 3.10, 3 Rb 3.20-3.30
19 Cl 0.8377 0.7301 0.9483  1 Se 2.43
20 Cl 0.7464 0.6796 0.5718  1 Se 2.43

* magnetic moment: 1.01 μB per formula unit
* D(E_F): 0.063 states/eV/f.u.

---

It comes down to #Q, which is 46 meV per atom more stable than the next structure.

---

#P
DFT (PBE) results for a relaxed RbY2SiCl crystal.

a = 5.3462 Å, b = 9.3142 Å, c = 5.3462 Å
α = 90.00°, β = 90.00°, γ = 90.00°
Last column: nearest neighbours and their distance in Å.
Sites, in units of the cell vectors:
1 Y 0.0000 0.0000 0.5000  2 Si 2.67
2 Y 0.5000 0.0000 0.0000  2 Si 2.67
3 Si 0.0000 0.0000 0.0000  4 Y 2.67
4 Rb 0.5000 0.5000 0.5000  4 Cl 3.78
5 Cl 0.0000 0.5000 0.0000  4 Rb 3.78

* magnetic moment: 0.00 μB per formula unit
* D(E_F): 1.105 states/eV/f.u.

---

#Q
DFT (PBE) results for a relaxed RbY2SiCl crystal.

a = 5.4112 Å, b = 7.3542 Å, c = 5.4112 Å
α = 90.00°, β = 90.00°, γ = 90.00°
Last column: nearest neighbours and their distance in Å.
Sites, in units of the cell vectors:
1 Y 0.0000 0.0000 0.5000  2 Si 2.71
2 Y 0.5000 0.0000 0.0000  2 Si 2.71
3 Si 0.0000 0.0000 0.0000  4 Y 2.71
4 Rb 0.0000 0.5000 0.0000  2 Si 3.68, 4 Cl 3.83
5 Cl 0.5000 0.5000 0.5000  4 Rb 3.83

* magnetic moment: 0.00 μB per formula unit
* D(E_F): 2.623 states/eV/f.u.

---

It comes down to #Q, which is 91 meV per atom more stable than the next structure.